1.
Compound: BiTe2IrI
Source: the Alexandria database
Functional: PBE-GGA
Structure: optimized geometry

Polymorph energy (0 for the lowest one): 0.000 eV/atom

a = 5.2928 Å, b = 5.2928 Å, c = 5.3595 Å
α = 90.00°, β = 90.00°, γ = 90.00°
Space group P4/mmm (No. 123)
Inequivalent atoms, fractional coordinates:
Bi (0.0000, 0.0000, 0.0000) [1 per cell]
Te (0.0000, 0.5000, 0.5000) [2 per cell]
Ir (0.5000, 0.5000, 0.5000) [1 per cell]
I (0.5000, 0.5000, 0.0000) [1 per cell]


2.
Compound: ZrBiIrI2
Source: the Alexandria database
Functional: PBE-GGA
Structure: optimized geometry

Raw total energy: -4.2924 eV per atom

a = 5.6383 Å, b = 5.6383 Å, c = 5.0710 Å
α = 90.00°, β = 90.00°, γ = 90.00°
Space group P4/mmm (No. 123)
Inequivalent atoms, fractional coordinates:
Zr (0.0000, 0.0000, 0.0000) [1 per cell]
Bi (0.5000, 0.5000, 0.5000) [1 per cell]
Ir (0.0000, 0.0000, 0.5000) [1 per cell]
I (0.0000, 0.5000, 0.0000) [2 per cell]


3.
Compound: K4BiI2
Source: the Alexandria database
Functional: PBE-GGA
Structure: optimized geometry

Raw total energy: -2.3835 eV per atom

a = 6.6552 Å, b = 6.6552 Å, c = 18.6248 Å
α = 90.00°, β = 90.00°, γ = 90.00°
Space group I4/mmm (No. 139)
Inequivalent atoms, fractional coordinates:
K (0.0000, 0.0000, 0.1847) [4 per cell]
K (0.0000, 0.5000, 0.0000) [4 per cell]
Bi (0.0000, 0.0000, 0.0000) [2 per cell]
I (0.0000, 0.0000, 0.3661) [4 per cell]


4.
Compound: KBi3I
Source: the Alexandria database
Functional: PBE-GGA
Structure: optimized geometry

Polymorph energy (0 for the lowest one): 0.000 eV/atom

a = 6.0897 Å, b = 6.0897 Å, c = 6.0897 Å
α = 90.00°, β = 90.00°, γ = 90.00°
Space group Pm-3m (No. 221)
Inequivalent atoms, fractional coordinates:
K (0.0000, 0.0000, 0.0000) [1 per cell]
Bi (0.0000, 0.5000, 0.5000) [3 per cell]
I (0.5000, 0.5000, 0.5000) [1 per cell]


5.
Compound: K3Bi2I9
Source: the Alexandria database
Functional: PBE-GGA
Structure: optimized geometry

Raw total energy: -2.6852 eV per atom

a = 8.5383 Å, b = 15.2295 Å, c = 21.4652 Å
α = 90.00°, β = 96.55°, γ = 90.00°
Space group C2/c (No. 15)
Inequivalent atoms, fractional coordinates:
K (0.0000, 0.0522, 0.2500) [4 per cell]
K (0.0179, 0.2570, 0.5633) [8 per cell]
Bi (0.0523, 0.3359, 0.1566) [8 per cell]
I (0.0000, 0.4940, 0.2500) [4 per cell]
I (0.1291, 0.1671, 0.0904) [8 per cell]
I (0.1666, 0.4015, 0.4515) [8 per cell]
I (0.1677, 0.0671, 0.8831) [8 per cell]
I (0.2414, 0.2460, 0.2846) [8 per cell]


6.
Compound: KBiI3
Source: the Alexandria database
Functional: PBE-GGA
Structure: optimized geometry

Polymorph energy (0 for the lowest one): 0.774 eV/atom

a = 6.2917 Å, b = 6.2917 Å, c = 6.2917 Å
α = 90.00°, β = 90.00°, γ = 90.00°
Space group Pm-3m (No. 221)
Inequivalent atoms, fractional coordinates:
K (0.0000, 0.0000, 0.0000) [1 per cell]
Bi (0.5000, 0.5000, 0.5000) [1 per cell]
I (0.0000, 0.0000, 0.5000) [3 per cell]


Computed values of size of the total moment (unit: μB/f.u.) for the preceding records, in sequence: 0.00 1.46 1.04 0.00 0.00 1.00.